[1]
This record from Alexandria via LeMat-Bulk describes a PBEsol-optimized structure of GeSeCl2. The functional is SCAN.

Structure (extended XYZ):
```
4
Lattice="0.000 3.425 3.425 3.425 0.000 3.425 3.425 3.425 0.000" Properties=species:S:1:pos:R:3 pbc="T T T"
Ge 0.000 0.000 0.000
Se 3.425 3.425 3.425
Cl 1.713 1.713 1.713
Cl 5.138 5.138 5.138
```

Summary:
Volume ... 80.4 Å³/f.u.
Space group ... Fm-3m
Raw total energy ... -53.9 eV/f.u.


[2]
This record from Alexandria via LeMat-Bulk describes a PBEsol-optimized structure of GeSeCl3. The functional is SCAN.

Structure (extended XYZ):
```
5
Lattice="5.010 0.000 0.000 0.000 5.010 0.000 0.000 0.000 5.010" Properties=species:S:1:pos:R:3 pbc="T T T"
Ge 0.000 0.000 0.000
Se 2.505 2.505 2.505
Cl 0.000 2.505 2.505
Cl 2.505 0.000 2.505
Cl 2.505 2.505 0.000
```

Summary:
Volume ... 125.8 Å³/f.u.
Space group ... Pm-3m
Raw total energy ... -61.6 eV/f.u.


[3]
This record from Alexandria via LeMat-Bulk describes a PBEsol-optimized structure of SiGeCl2. The functional is SCAN.

Structure (extended XYZ):
```
4
Lattice="0.000 3.357 3.357 3.357 0.000 3.357 3.357 3.357 0.000" Properties=species:S:1:pos:R:3 pbc="T T T"
Si 0.000 0.000 0.000
Ge 3.357 3.357 3.357
Cl 1.678 1.678 1.678
Cl 5.035 5.035 5.035
```

Summary:
Volume ... 75.7 Å³/f.u.
Space group ... Fm-3m
Raw total energy ... -43.2 eV/f.u.


[4]
This record from Alexandria via LeMat-Bulk describes a PBEsol-optimized structure of SrGeTeCl2. The functional is SCAN.

Structure (extended XYZ):
```
5
Lattice="5.008 0.000 0.000 0.000 5.008 0.000 0.000 0.000 5.763" Properties=species:S:1:pos:R:3 pbc="T T T"
Sr 0.000 0.000 0.000
Ge 2.504 2.504 2.882
Te 2.504 2.504 0.000
Cl 0.000 2.504 2.882
Cl 2.504 0.000 2.882
```

Summary:
Volume ... 144.5 Å³/f.u.
Space group ... P4/mmm
Raw total energy ... -100.6 eV/f.u.


[5]
This record from Alexandria via LeMat-Bulk describes a PBEsol-optimized structure of Ta3GeCl. The functional is SCAN.

Structure (extended XYZ):
```
5
Lattice="4.773 0.000 0.000 0.000 4.773 0.000 0.000 0.000 4.773" Properties=species:S:1:pos:R:3 pbc="T T T"
Ta 0.000 0.000 2.386
Ta 0.000 2.386 0.000
Ta 2.386 0.000 0.000
Ge 0.000 0.000 0.000
Cl 2.386 2.386 2.386
```

Summary:
Volume ... 108.7 Å³/f.u.
Space group ... Pm-3m
Raw total energy ... -218.6 eV/f.u.


[6]
This record from Alexandria via LeMat-Bulk describes a PBEsol-optimized structure of TaGeCl3. The functional is SCAN.

Structure (extended XYZ):
```
5
Lattice="4.795 0.000 0.000 0.000 4.795 0.000 0.000 0.000 4.795" Properties=species:S:1:pos:R:3 pbc="T T T"
Ta 0.000 0.000 0.000
Ge 2.398 2.398 2.398
Cl 0.000 0.000 2.398
Cl 0.000 2.398 0.000
Cl 2.398 0.000 0.000
```

Summary:
Volume ... 110.3 Å³/f.u.
Space group ... Pm-3m
Raw total energy ... -109.6 eV/f.u.


[7]
This record from Alexandria via LeMat-Bulk describes a PBEsol-optimized structure of TcGe3Cl. The functional is SCAN.

Structure (extended XYZ):
```
5
Lattice="4.745 0.000 0.000 0.000 4.745 0.000 0.000 0.000 4.745" Properties=species:S:1:pos:R:3 pbc="T T T"
Tc 0.000 0.000 0.000
Ge 0.000 0.000 2.373
Ge 0.000 2.373 0.000
Ge 2.373 0.000 0.000
Cl 2.373 2.373 2.373
```

Summary:
Volume ... 106.8 Å³/f.u.
Space group ... Pm-3m
Raw total energy ... -101.2 eV/f.u.


[8]
This record from Alexandria via LeMat-Bulk describes a PBEsol-optimized structure of ZrTc2GeCl. The functional is SCAN.

Structure (extended XYZ):
```
5
Lattice="4.833 0.000 0.000 0.000 4.833 0.000 0.000 0.000 4.735" Properties=species:S:1:pos:R:3 pbc="T T T"
Zr 0.000 0.000 0.000
Tc 0.000 2.416 0.000
Tc 2.416 0.000 0.000
Ge 2.416 2.416 2.367
Cl 0.000 0.000 2.367
```

Summary:
Volume ... 110.6 Å³/f.u.
Space group ... P4/mmm
Raw total energy ... -121.4 eV/f.u.


[9]
This record from Alexandria via LeMat-Bulk describes a PBEsol-optimized structure of GeTeCl2. The functional is SCAN.

Structure (extended XYZ):
```
8
Lattice="-4.411 4.411 2.769 4.411 -4.411 2.769 4.411 4.411 -2.769" Properties=species:S:1:pos:R:3 pbc="T T T"
Ge 0.000 0.000 0.000
Ge 0.000 4.411 1.384
Te 4.411 0.000 1.384
Te 0.000 0.000 2.769
Cl 6.616 1.169 -0.692
Cl 1.169 2.205 0.692
Cl -2.205 3.241 2.077
Cl 3.241 2.205 3.461
```

Summary:
Volume ... 107.7 Å³/f.u.
Space group ... I-42d
Distance to the lowest polymorph of the same formula ... 0.0000 eV per atom
Raw total energy ... -72.7 eV/f.u.


[10]
This record from Alexandria via LeMat-Bulk describes a PBEsol-optimized structure of GeTeCl2. The functional is SCAN.

Structure (extended XYZ):
```
4
Lattice="0.000 3.527 3.527 3.527 0.000 3.527 3.527 3.527 0.000" Properties=species:S:1:pos:R:3 pbc="T T T"
Ge 0.000 0.000 0.000
Te 3.527 3.527 3.527
Cl 1.764 1.764 1.764
Cl 5.291 5.291 5.291
```

Summary:
Volume ... 87.8 Å³/f.u.
Space group ... Fm-3m
Distance to the lowest polymorph of the same formula ... 0.3946 eV per atom
Raw total energy ... -71.1 eV/f.u.


[11]
This record from Alexandria via LeMat-Bulk describes a PBEsol-optimized structure of ZnGe3Cl. The functional is SCAN.

Structure (extended XYZ):
```
5
Lattice="4.838 0.000 0.000 0.000 4.838 0.000 0.000 0.000 4.838" Properties=species:S:1:pos:R:3 pbc="T T T"
Zn 0.000 0.000 0.000
Ge 0.000 0.000 2.419
Ge 0.000 2.419 0.000
Ge 2.419 0.000 0.000
Cl 2.419 2.419 2.419
```

Summary:
Volume ... 113.2 Å³/f.u.
Space group ... Pm-3m
Raw total energy ... -75.8 eV/f.u.


[12]
This record from Alexandria via LeMat-Bulk describes a PBEsol-optimized structure of Zr2GeCl. The functional is SCAN.

Structure (extended XYZ):
```
4
Lattice="0.000 3.301 3.301 3.301 0.000 3.301 3.301 3.301 0.000" Properties=species:S:1:pos:R:3 pbc="T T T"
Zr 1.650 1.650 1.650
Zr 4.951 4.951 4.951
Ge 0.000 0.000 0.000
Cl 3.301 3.301 3.301
```

Summary:
Volume ... 71.9 Å³/f.u.
Space group ... Fm-3m
Raw total energy ... -91.3 eV/f.u.


[13]
This record from Alexandria via LeMat-Bulk describes a PBEsol-optimized structure of Hf2HCl2. The functional is SCAN.

Structure (extended XYZ):
```
10
Lattice="6.965 0.000 0.000 0.000 6.965 0.000 0.000 0.000 3.153" Properties=species:S:1:pos:R:3 pbc="T T T"
Hf 1.170 2.312 0.000
Hf 2.312 5.795 0.000
Hf 4.652 1.170 0.000
Hf 5.795 4.652 0.000
H 0.000 0.000 0.000
H 3.482 3.482 0.000
Cl 0.962 4.445 1.576
Cl 2.520 0.962 1.576
Cl 4.445 6.002 1.576
Cl 6.002 2.520 1.576
```

Summary:
Volume ... 76.5 Å³/f.u.
Space group ... P4/mbm
Raw total energy ... -144.6 eV/f.u.


[14]
This record from Alexandria via LeMat-Bulk describes a PBEsol-optimized structure of HfP2HCl. The functional is SCAN.

Structure (extended XYZ):
```
5
Lattice="3.712 0.000 0.000 0.000 3.712 0.000 0.000 0.000 4.808" Properties=species:S:1:pos:R:3 pbc="T T T"
Hf 0.000 0.000 0.000
P 0.000 1.856 2.404
P 1.856 0.000 2.404
H 1.856 1.856 2.404
Cl 1.856 1.856 0.000
```

Summary:
Volume ... 66.2 Å³/f.u.
Space group ... P4/mmm
Raw total energy ... -94.5 eV/f.u.


[15]
This record from Alexandria via LeMat-Bulk describes a PBEsol-optimized structure of HfHS2Cl. The functional is SCAN.

Structure (extended XYZ):
```
5
Lattice="3.857 0.000 0.000 0.000 3.857 0.000 0.000 0.000 4.562" Properties=species:S:1:pos:R:3 pbc="T T T"
Hf 0.000 0.000 0.000
H 1.929 1.929 2.281
S 0.000 1.929 2.281
S 1.929 0.000 2.281
Cl 1.929 1.929 0.000
```

Summary:
Volume ... 67.9 Å³/f.u.
Space group ... P4/mmm
Raw total energy ... -92.7 eV/f.u.


[16]
This record from Alexandria via LeMat-Bulk describes a PBEsol-optimized structure of InHgH2Cl. The functional is SCAN.

Structure (extended XYZ):
```
5
Lattice="3.997 0.000 0.000 0.000 3.997 0.000 0.000 0.000 6.109" Properties=species:S:1:pos:R:3 pbc="T T T"
In 0.000 0.000 0.000
Hg 1.999 1.999 3.055
H 0.000 1.999 3.055
H 1.999 0.000 3.055
Cl 1.999 1.999 0.000
```

Summary:
Volume ... 97.6 Å³/f.u.
Space group ... P4/mmm
Raw total energy ... -116.2 eV/f.u.


[17]
This record from Alexandria via LeMat-Bulk describes a PBEsol-optimized structure of K2HgH2Cl4O. The functional is SCAN.

Structure (extended XYZ):
```
40
Lattice="8.234 0.000 0.000 0.000 11.667 0.000 0.000 0.000 8.683" Properties=species:S:1:pos:R:3 pbc="T T T"
K 0.666 1.796 0.000
K 0.861 2.273 4.341
K 3.256 8.106 4.341
K 3.451 7.630 0.000
K 4.783 4.037 0.000
K 4.978 3.561 4.341
K 7.374 9.394 4.341
K 7.569 9.871 0.000
Hg 0.000 5.833 1.986
Hg 0.000 5.833 6.696
Hg 4.117 0.000 1.986
Hg 4.117 0.000 6.696
H 0.741 11.394 2.667
H 0.741 11.394 6.016
H 3.376 5.560 2.667
H 3.376 5.560 6.016
H 4.858 6.107 2.667
H 4.858 6.107 6.016
H 7.493 0.273 2.667
H 7.493 0.273 6.016
Cl 0.974 8.034 2.199
Cl 0.974 8.034 6.484
Cl 1.675 4.931 0.000
Cl 2.061 5.137 4.341
Cl 2.056 10.971 4.341
Cl 2.442 10.764 0.000
Cl 3.143 2.200 2.199
Cl 3.143 2.200 6.484
Cl 5.091 9.467 2.199
Cl 5.091 9.467 6.484
Cl 5.792 0.903 0.000
Cl 6.178 0.696 4.341
Cl 6.173 6.529 4.341
Cl 6.560 6.736 0.000
Cl 7.260 3.633 2.199
Cl 7.260 3.633 6.484
O 0.000 0.000 2.065
O 0.000 0.000 6.618
O 4.117 5.833 2.065
O 4.117 5.833 6.618
```

Summary:
Volume ... 208.5 Å³/f.u.
Space group ... Pbam
Raw total energy ... -143.9 eV/f.u.


[18]
This record from Alexandria via LeMat-Bulk describes a PBEsol-optimized structure of HgH10N2Cl4O. The functional is SCAN.

Structure (extended XYZ):
```
72
Lattice="8.850 0.000 0.000 0.000 11.454 0.000 0.000 0.000 8.976" Properties=species:S:1:pos:R:3 pbc="T T T"
Hg 0.000 0.000 1.928
Hg 0.000 0.000 7.048
Hg 4.425 5.727 1.928
Hg 4.425 5.727 7.048
H 0.287 3.146 3.651
H 0.287 3.146 5.325
H 0.470 4.563 0.862
H 0.470 4.563 8.114
H 0.570 7.875 0.000
H 0.738 5.996 2.775
H 0.738 5.996 6.200
H 1.058 3.173 0.000
H 1.349 4.213 4.488
H 1.607 2.503 4.488
H 2.818 8.230 4.488
H 3.076 9.940 4.488
H 3.367 8.900 0.000
H 3.687 0.269 2.775
H 3.687 0.269 6.200
H 3.855 2.148 0.000
H 3.955 10.290 0.862
H 3.955 10.290 8.114
H 4.137 8.873 3.651
H 4.137 8.873 5.325
H 4.712 2.581 3.651
H 4.712 2.581 5.325
H 4.895 1.164 0.862
H 4.895 1.164 8.114
H 4.995 9.306 0.000
H 5.163 11.185 2.775
H 5.163 11.185 6.200
H 5.483 2.554 0.000
H 5.774 1.514 4.488
H 6.032 3.224 4.488
H 7.243 8.951 4.488
H 7.501 7.241 4.488
H 7.792 8.281 0.000
H 8.112 5.458 2.775
H 8.112 5.458 6.200
H 8.280 3.579 0.000
H 8.380 6.891 0.862
H 8.380 6.891 8.114
H 8.562 8.308 3.651
H 8.562 8.308 5.325
N 0.388 3.969 0.000
N 0.893 3.273 4.488
N 3.532 9.000 4.488
N 4.037 9.696 0.000
N 4.813 1.758 0.000
N 5.318 2.454 4.488
N 7.957 8.181 4.488
N 8.462 7.485 0.000
Cl 1.103 9.374 2.262
Cl 1.103 9.374 6.714
Cl 1.703 0.984 0.000
Cl 1.956 6.319 4.488
Cl 2.469 0.592 4.488
Cl 2.722 6.711 0.000
Cl 3.322 3.647 2.262
Cl 3.322 3.647 6.714
Cl 5.527 7.807 2.262
Cl 5.527 7.807 6.714
Cl 6.128 4.743 0.000
Cl 6.381 10.862 4.488
Cl 6.894 5.135 4.488
Cl 7.147 10.470 0.000
Cl 7.747 2.080 2.262
Cl 7.747 2.080 6.714
O 0.000 5.727 2.159
O 0.000 5.727 6.817
O 4.425 0.000 2.159
O 4.425 0.000 6.817
```

Summary:
Volume ... 227.5 Å³/f.u.
Space group ... Pbam
Raw total energy ... -172.5 eV/f.u.


[19]
This record from Alexandria via LeMat-Bulk describes a PBEsol-optimized structure of HoH2ClO2. The functional is SCAN.

Structure (extended XYZ):
```
12
Lattice="6.154 0.000 0.000 0.000 3.540 0.000 -1.675 0.000 6.247" Properties=species:S:1:pos:R:3 pbc="T T T"
Ho 0.697 0.885 2.447
Ho 3.782 2.655 3.801
H -0.555 0.885 5.073
H 1.053 2.655 4.632
H 3.427 0.885 1.616
H 5.034 2.655 1.174
Cl 1.553 2.655 0.424
Cl 2.926 0.885 5.823
O -0.849 0.885 4.133
O 1.439 2.655 3.724
O 3.041 0.885 2.523
O 5.329 2.655 2.114
```

Summary:
Volume ... 68.1 Å³/f.u.
Space group ... P2_1/m
Raw total energy ... -90.2 eV/f.u.


[20]
This record from Alexandria via LeMat-Bulk describes a PBEsol-optimized structure of H2ICl. The functional is SCAN.

Structure (extended XYZ):
```
4
Lattice="0.000 3.004 3.004 3.004 0.000 3.004 3.004 3.004 0.000" Properties=species:S:1:pos:R:3 pbc="T T T"
H 1.502 1.502 1.502
H 4.507 4.507 4.507
I 0.000 0.000 0.000
Cl 3.004 3.004 3.004
```

Summary:
Volume ... 54.2 Å³/f.u.
Space group ... Fm-3m
Raw total energy ... -46.6 eV/f.u.